No. 1
Material: RbTl2Br8
Method: DFT, PBE
State: optimized geometry

Polymorph energy (0 for the lowest one) in eV/atom: 0.000
Crystal system: monoclinic

Geometry as POSCAR:
```
RbTl2Br8
1.0
7.659 -3.370 0.000
7.659 3.370 0.000
-3.540 0.000 8.904
Rb Tl Br
1 2 8
direct
0.000 0.000 0.000 Rb
0.214 0.214 0.675 Tl
0.786 0.786 0.325 Tl
0.154 0.617 0.242 Br
0.186 0.186 0.391 Br
0.383 0.846 0.758 Br
0.392 0.392 0.849 Br
0.608 0.608 0.151 Br
0.617 0.154 0.242 Br
0.814 0.814 0.609 Br
0.846 0.383 0.758 Br
```

***

No. 2
Material: Sm2Al3NiPt12
Method: DFT, PBE
State: optimized geometry

Total energy in eV per cell: -106.682
Crystal system: trigonal

Geometry as POSCAR:
```
Sm2Al3NiPt12
1.0
3.975 2.295 6.538
-3.975 2.295 6.538
0.000 -4.590 6.538
Sm Al Ni Pt
2 3 1 12
direct
0.131 0.131 0.131 Sm
0.869 0.869 0.869 Sm
0.000 0.500 0.500 Al
0.500 0.000 0.500 Al
0.500 0.500 0.000 Al
0.500 0.500 0.500 Ni
0.122 0.122 0.628 Pt
0.122 0.628 0.122 Pt
0.126 0.623 0.623 Pt
0.372 0.878 0.878 Pt
0.377 0.377 0.874 Pt
0.377 0.874 0.377 Pt
0.623 0.126 0.623 Pt
0.623 0.623 0.126 Pt
0.628 0.122 0.122 Pt
0.874 0.377 0.377 Pt
0.878 0.372 0.878 Pt
0.878 0.878 0.372 Pt
```

***

No. 3
Material: Ba4AlSb
Method: DFT, PBE
State: optimized geometry

Total energy in eV per cell: -13.755
Crystal system: cubic

Geometry as POSCAR:
```
Ba4AlSb
1.0
0.000 5.041 5.041
5.041 0.000 5.041
5.041 5.041 0.000
Ba Al Sb
4 1 1
direct
0.124 0.124 0.124 Ba
0.124 0.124 0.628 Ba
0.124 0.628 0.124 Ba
0.628 0.124 0.124 Ba
0.500 0.500 0.500 Al
0.750 0.750 0.750 Sb
```